No. 1
Zn2Ag3 | GGA-PBEsol | optimized geometry

## Properties
symmetry	No. 12
energy of formation from the pure elements	-0.057	eV per atom
crystal system	monoclinic
E	-13.38	eV per cell

Lattice parameters (Å, degrees): 4.1211 4.6216 4.9893 74.20 65.61 63.52
Last column: nearest neighbours and their distance in Å.
Fractional coordinates of all 5 atoms:
Zn 0.9068 0.3977 0.7886  1 Zn 2.67, 9 Ag 2.69-2.95
Zn 0.0932 0.6023 0.2114  1 Zn 2.67, 9 Ag 2.69-2.95
Ag 0.2923 0.7924 0.6230  6 Zn 2.69-2.95, 6 Ag 2.77-2.87
Ag 0.5000 0.0000 0.0000  6 Zn 2.74-2.77, 6 Ag 2.87
Ag 0.7077 0.2076 0.3770  6 Zn 2.69-2.95, 6 Ag 2.77-2.87



No. 2
MnBiIO2 | GGA-PBEsol | optimized geometry

## Properties
symmetry	No. 123
crystal system	tetragonal
E_form (uncorrected)	5.8	kJ per mole of atoms
E	-26.01	eV per cell

Lattice parameters (Å, degrees): 4.2564 4.2564 6.3990 90.00 90.00 90.00
Last column: nearest neighbours and their distance in Å.
Fractional coordinates of all 5 atoms:
I 0.0000 0.0000 0.5000  4 Mn 3.01, 2 Bi 3.20
Mn 0.5000 0.5000 0.5000  4 I 3.01
Bi 0.0000 0.0000 0.0000  4 O 2.13
O 0.0000 0.5000 0.0000  2 Bi 2.13
O 0.5000 0.0000 0.0000  2 Bi 2.13



No. 3
AgPSe2 | GGA-PBEsol | optimized geometry

## Properties
symmetry	No. 19
crystal system	orthorhombic
E_form (uncorrected)	0.7	kJ per mole of atoms
E	-67.09	eV per cell

Lattice parameters (Å, degrees): 4.6231 6.9202 12.2514 90.00 90.00 90.00
Last column: nearest neighbours and their distance in Å.
Fractional coordinates of all 16 atoms:
Ag 0.1124 0.9312 0.6749  3 Se 2.54-2.65
Ag 0.6124 0.5688 0.3251  3 Se 2.54-2.65
Ag 0.3876 0.0688 0.1749  3 Se 2.54-2.65
Ag 0.8876 0.4312 0.8251  3 Se 2.54-2.65
P 0.5330 0.7988 0.8961  3 Se 2.29-2.36
P 0.0330 0.7012 0.1039  3 Se 2.29-2.36
P 0.9670 0.2012 0.3961  3 Se 2.29-2.36
P 0.4670 0.2988 0.6039  3 Se 2.29-2.36
Se 0.3251 0.6215 0.7596  1 P 2.29, 1 Ag 2.54
Se 0.8251 0.8785 0.2404  1 P 2.29, 1 Ag 2.54
Se 0.1749 0.3785 0.2596  1 P 2.29, 1 Ag 2.54
Se 0.6749 0.1215 0.7404  1 P 2.29, 1 Ag 2.54
Se 0.1513 0.9555 0.9890  2 P 2.32-2.36
Se 0.6513 0.5445 0.0110  2 P 2.32-2.36
Se 0.3487 0.0445 0.4890  2 P 2.32-2.36
Se 0.8487 0.4555 0.5110  2 P 2.32-2.36



No. 4
Zr2FeCl | GGA-PBEsol | optimized geometry

## Properties
symmetry	No. 47
crystal system	orthorhombic
E_form (uncorrected)	-52.8	kJ per mole of atoms
E	-31.34	eV per cell

Lattice parameters (Å, degrees): 3.0544 3.1345 7.5553 89.99 90.00 90.00
Last column: nearest neighbours and their distance in Å.
Fractional coordinates of all 4 atoms:
Fe 0.5000 0.5000 0.0000  8 Zr 2.69
Zr 0.0000 0.0001 0.7935  4 Fe 2.69, 2 Cl 2.69
Zr 0.0000 0.9999 0.2065  4 Fe 2.69, 2 Cl 2.69
Cl 0.5000 0.0000 0.5000  4 Zr 2.69



No. 5
SiTeN2F | GGA-PBEsol | optimized geometry

## Properties
symmetry	No. 123
crystal system	tetragonal
E_form (uncorrected)	183.0	kJ per mole of atoms
E	-18.77	eV per cell

Lattice parameters (Å, degrees): 4.1776 4.1404 4.1404 90.00 90.00 90.00
Last column: nearest neighbours and their distance in Å.
Fractional coordinates of all 5 atoms:
N 0.0000 0.0000 0.5000  2 F 2.07
N 0.0000 0.5000 0.0000  2 F 2.07
Si 0.5000 0.5000 0.5000  4 Te 2.93, 8 N 2.94
Te 0.5000 0.0000 0.0000  2 F 2.09
F 0.0000 0.0000 0.0000  4 N 2.07, 2 Te 2.09



No. 6
ScTa2AgCl | GGA-PBEsol | optimized geometry

## Properties
symmetry	No. 123
crystal system	tetragonal
E_form (uncorrected)	68.1	kJ per mole of atoms
E	-33.50	eV per cell

Lattice parameters (Å, degrees): 4.4950 4.4950 4.8057 90.00 90.00 90.00
Last column: nearest neighbours and their distance in Å.
Fractional coordinates of all 5 atoms:
Sc 0.5000 0.5000 0.5000  4 Ag 3.18, 8 Ta 3.29
Cl 0.0000 0.0000 0.0000  4 Ta 2.25, 2 Ag 2.40
Ag 0.0000 0.0000 0.5000  2 Cl 2.40
Ta 0.0000 0.5000 0.0000  2 Cl 2.25
Ta 0.5000 0.0000 0.0000  2 Cl 2.25